VASP calculation (SCAN) on TeAsSe at its PBEsol-relaxed geometry. Values from VASP.

Summary:
DOS(E_F)	1.37	states/eV per cell
formation energy (no corrections)	36	kJ per mole of atoms
M_tot	0.000	μB per cell
E above lowest polymorph	76	meV/atom

Geometry as Quantum ESPRESSO input:
```
&SYSTEM
  ibrav = 0, nat = 3, ntyp = 3
/
ATOMIC_SPECIES
As 74.92 As.upf
Te 127.60 Te.upf
Se 78.96 Se.upf
ATOMIC_POSITIONS angstrom
As -2.0515 1.7982 1.0293
Te -4.1029 3.5964 2.0585
Se 0.0000 0.0000 0.0000
CELL_PARAMETERS angstrom
-3.8672 2.5380 -1.1288
-3.5482 0.4574 3.1420
-0.7906 4.1975 2.1040
```

***

VASP calculation (SCAN) on TeAs2Se at its PBEsol-relaxed geometry. Values from VASP.

Summary:
DOS(E_F)	2.08	states/eV per cell
formation energy (no corrections)	10	kJ per mole of atoms
M_tot	0.000	μB per cell
E above lowest polymorph	11	meV/atom

Geometry as Quantum ESPRESSO input:
```
&SYSTEM
  ibrav = 0, nat = 4, ntyp = 3
/
ATOMIC_SPECIES
As 74.92 As.upf
Te 127.60 Te.upf
Se 78.96 Se.upf
ATOMIC_POSITIONS angstrom
As -1.4037 5.3002 4.1388
As -4.0474 7.4871 0.7621
Te -1.3481 2.4400 0.1769
Se -2.6996 5.0618 0.6056
CELL_PARAMETERS angstrom
-0.3715 3.2115 -2.3237
-3.6185 1.3220 -1.0053
-1.4056 5.3955 4.2708
```

***

VASP calculation (SCAN) on TeAs2Se at its PBEsol-relaxed geometry. Values from VASP.

Summary:
DOS(E_F)	1.67	states/eV per cell
formation energy (no corrections)	10	kJ per mole of atoms
M_tot	0.000	μB per cell
E above lowest polymorph	7	meV/atom

Geometry as Quantum ESPRESSO input:
```
&SYSTEM
  ibrav = 0, nat = 4, ntyp = 3
/
ATOMIC_SPECIES
As 74.92 As.upf
Te 127.60 Te.upf
Se 78.96 Se.upf
ATOMIC_POSITIONS angstrom
As -0.0129 -0.0650 -0.0773
As -1.3423 0.1157 -2.4809
Te -3.8042 -0.4009 -1.2185
Se -0.9724 -2.6077 -2.7408
CELL_PARAMETERS angstrom
-1.7090 2.8951 -2.1481
1.4468 -2.2835 -4.2286
-4.8776 -0.8572 2.7252
```

***

VASP calculation (SCAN) on TeAsSe at its PBEsol-relaxed geometry. Values from VASP.

Summary:
DOS(E_F)	2.25	states/eV per cell
formation energy (no corrections)	28	kJ per mole of atoms
M_tot	0.000	μB per cell
E above lowest polymorph	0	meV/atom

Geometry as Quantum ESPRESSO input:
```
&SYSTEM
  ibrav = 0, nat = 3, ntyp = 3
/
ATOMIC_SPECIES
As 74.92 As.upf
Te 127.60 Te.upf
Se 78.96 Se.upf
ATOMIC_POSITIONS angstrom
As 1.9773 1.9780 4.2905
Te 0.0000 0.0000 3.5555
Se 1.9773 1.9781 1.8565
CELL_PARAMETERS angstrom
3.9546 0.0000 0.0000
0.0000 3.9561 0.0000
-1.9773 -1.9781 4.8512
```